Record 1
The following is a meta-GGA SCAN calculation of a PBEsol-optimized structure of LiAsPbCl2, from Alexandria via LeMat-Bulk.

* volume: 170.2 Å³/cell
* theoretical density: 3.5 Mg/m³
* E_tot: -23.25 eV/atom
* symmetry: No. 123
* formation energy (no corrections): -0.3829 eV/atom

Cell lengths 5.531, 5.531, 5.565 Å; angles 90.00, 90.00, 90.00 degrees
Positions (direct):
Li1 0.000 0.000 0.000
As1 0.500 0.500 0.000
Pb1 0.500 0.500 0.500
Cl1 0.000 0.500 0.500
Cl2 0.500 0.000 0.500

=====

Record 2
The following is a meta-GGA SCAN calculation of a PBEsol-optimized structure of TiSiP2S, from Alexandria via LeMat-Bulk.

* excess energy over the best structure of this formula in the dataset: 12.0 meV/atom
* volume: 99.1 Å³/cell
* theoretical density: 2.8 Mg/m³
* E_tot: -10.87 eV/atom
* symmetry: No. 123
* formation energy (no corrections): 0.4229 eV/atom

Cell lengths 4.673, 4.673, 4.537 Å; angles 90.00, 90.00, 90.00 degrees
Positions (direct):
Ti1 0.000 0.000 0.000
Si1 0.500 0.500 0.500
P1 0.000 0.500 0.000
P2 0.500 0.000 0.000
S1 0.000 0.000 0.500

=====

> Which value of formation energy (no corrections) does entry 1 give?

-0.3829 eV/atom